# 1
! Sm4TeAs2Pb (PBE-GGA, optimized geometry); values from VASP
! energy relative to the elements, uncorrected: -10.1 eV/f.u.
! crystal system: monoclinic
&SYSTEM
  ibrav = 0, nat = 8, ntyp = 4
/
ATOMIC_SPECIES
Sm 150.36 Sm.upf
As 74.92 As.upf
Te 127.60 Te.upf
Pb 207.20 Pb.upf
ATOMIC_POSITIONS angstrom
Sm 2.1282 6.5411 1.4989
Sm 2.1282 3.7123 5.3249
Sm 0.0001 7.8420 5.0494
Sm 4.2563 2.4115 1.7743
As 2.1282 1.3033 3.5320
As 0.0000 2.6066 7.0640
Te 0.0000 5.1267 3.4119
Pb 2.1282 3.8234 -0.1201
CELL_PARAMETERS angstrom
4.2563 0.0000 0.0000
0.0000 7.6468 -0.2402
0.0000 2.6066 7.0640



# 2
! Sm6Te3As2Pb (PBE-GGA, optimized geometry); values from VASP
! energy relative to the elements, uncorrected: -16.1 eV/f.u.
! crystal system: monoclinic
&SYSTEM
  ibrav = 0, nat = 12, ntyp = 4
/
ATOMIC_SPECIES
As 74.92 As.upf
Te 127.60 Te.upf
Sm 150.36 Sm.upf
Pb 207.20 Pb.upf
ATOMIC_POSITIONS angstrom
As 2.1793 4.1449 6.3027
As 0.0000 2.0984 3.1980
Te 2.1793 4.4260 0.1295
Te 0.0000 6.5096 3.2539
Te 2.1793 -0.2663 6.2469
Sm 0.0000 2.1798 0.2240
Sm 2.1793 0.0674 3.1202
Sm 0.0000 2.1233 6.1372
Sm 2.1793 4.1199 3.3636
Sm 2.1793 4.0635 9.2767
Sm 0.0000 6.1759 6.3806
Pb 2.1793 0.0000 0.0000
CELL_PARAMETERS angstrom
4.3586 0.0000 0.0000
0.0000 8.8521 0.2591
-2.1793 -2.6088 9.2417



# 3
! Sm4TeAsPb2 (PBE-GGA, optimized geometry); values from VASP
! energy relative to the elements, uncorrected: -7.8 eV/f.u.
! crystal system: monoclinic
&SYSTEM
  ibrav = 0, nat = 8, ntyp = 4
/
ATOMIC_SPECIES
Pb 207.20 Pb.upf
Sm 150.36 Sm.upf
As 74.92 As.upf
Te 127.60 Te.upf
ATOMIC_POSITIONS angstrom
Pb 2.1571 1.3133 3.5062
Pb 0.0000 2.6266 7.0123
Sm 0.0001 7.8548 4.9385
Sm 2.1571 6.5226 1.6419
Sm 2.1571 4.0914 5.0293
Sm 4.3142 2.7592 1.7326
As 0.0000 5.3070 3.3356
Te 2.1571 3.9937 -0.1706
CELL_PARAMETERS angstrom
4.3142 0.0000 0.0000
0.0000 7.9874 -0.3412
0.0000 2.6266 7.0123



# 4
! SnAs2Pb (PBE-GGA, optimized geometry); values from VASP
! crystal system: trigonal
! E_form: 2 kJ per mole of atoms
&SYSTEM
  ibrav = 0, nat = 4, ntyp = 3
/
ATOMIC_SPECIES
Sn 118.71 Sn.upf
As 74.92 As.upf
Pb 207.20 Pb.upf
ATOMIC_POSITIONS angstrom
Sn 1.2561 -6.7586 -7.3800
As -0.3170 -5.3778 -2.9023
As 0.5919 -1.5172 -2.3559
Pb 1.1048 -3.3702 -4.7593
CELL_PARAMETERS angstrom
-0.3383 0.6441 -3.9886
3.2378 -0.4221 -2.4034
-0.6854 -6.9428 -3.1237



# 5
! Sn2AsPb (PBE-GGA, optimized geometry); values from VASP
! relative energy among the computed polymorphs: 103 meV per atom
! crystal system: tetragonal
! E_form: 13 kJ per mole of atoms
&SYSTEM
  ibrav = 0, nat = 4, ntyp = 3
/
ATOMIC_SPECIES
Sn 118.71 Sn.upf
As 74.92 As.upf
Pb 207.20 Pb.upf
ATOMIC_POSITIONS angstrom
Sn 1.8335 0.6449 1.2605
Sn -1.1937 -0.4048 1.9436
As -0.1792 2.5934 3.1912
Pb -0.8189 2.3534 -0.0128
CELL_PARAMETERS angstrom
-1.6379 4.7068 -0.0256
-2.3875 -0.8097 3.8871
3.6670 1.2898 2.5209



# 6
! SnAs2Pb2 (PBE-GGA, optimized geometry); values from VASP
! relative energy among the computed polymorphs: 177 meV per atom
! crystal system: tetragonal
! E_form: 25 kJ per mole of atoms
&SYSTEM
  ibrav = 0, nat = 10, ntyp = 3
/
ATOMIC_SPECIES
As 74.92 As.upf
Pb 207.20 Pb.upf
Sn 118.71 Sn.upf
ATOMIC_POSITIONS angstrom
As 7.3960 2.9750 1.7264
As 5.8670 7.3960 1.7264
As 1.4460 5.8670 1.7264
As 2.9750 1.4460 1.7264
Pb 5.6472 1.2262 0.0000
Pb 7.6159 5.6472 0.0000
Pb 3.1948 7.6159 0.0000
Pb 1.2262 3.1948 0.0000
Sn 0.0000 0.0000 0.0000
Sn 4.4210 4.4210 0.0000
CELL_PARAMETERS angstrom
8.8420 0.0000 0.0000
0.0000 8.8420 0.0000
0.0000 0.0000 3.4528



# 7
! Sn3AsPb (PBE-GGA, optimized geometry); values from VASP
! relative energy among the computed polymorphs: 0 meV per atom
! crystal system: cubic
! E_form: 35 kJ per mole of atoms
&SYSTEM
  ibrav = 0, nat = 5, ntyp = 3
/
ATOMIC_SPECIES
Pb 207.20 Pb.upf
Sn 118.71 Sn.upf
As 74.92 As.upf
ATOMIC_POSITIONS angstrom
Pb 2.7272 2.7272 2.7272
Sn 2.7272 0.0000 0.0000
Sn 0.0000 2.7272 0.0000
Sn 0.0000 0.0000 2.7272
As 0.0000 0.0000 0.0000
CELL_PARAMETERS angstrom
5.4544 0.0000 0.0000
0.0000 5.4544 0.0000
0.0000 0.0000 5.4544



# 8
! Sn3AsPb (PBE-GGA, optimized geometry); values from VASP
! relative energy among the computed polymorphs: 573 meV per atom
! crystal system: cubic
! E_form: 91 kJ per mole of atoms
&SYSTEM
  ibrav = 0, nat = 5, ntyp = 3
/
ATOMIC_SPECIES
Sn 118.71 Sn.upf
Pb 207.20 Pb.upf
As 74.92 As.upf
ATOMIC_POSITIONS angstrom
Sn 2.6391 0.8527 0.7284
Sn -0.5273 -0.7002 2.7302
Sn -0.9897 2.6467 0.4876
Pb 0.0000 0.0000 0.0000
As 1.1220 2.7992 3.9462
CELL_PARAMETERS angstrom
-1.9795 5.2934 0.9752
-1.0546 -1.4003 5.4604
5.2781 1.7054 1.4568



Number 1: DOS(E_F) 0.227 states/eV per atom, E_tot -45.167 eV for the cell shown. Number 2: DOS(E_F) 0.413 states/eV per atom, E_tot -66.884 eV for the cell shown. Number 3: DOS(E_F) 0.380 states/eV per atom, E_tot -41.895 eV for the cell shown. Number 4: DOS(E_F) 0.580 states/eV per atom, E_tot -16.924 eV for the cell shown. Number 5: DOS(E_F) 0.506 states/eV per atom, E_tot -15.812 eV for the cell shown. Number 6: DOS(E_F) 0.600 states/eV per atom, E_tot -38.871 eV for the cell shown. Number 7: DOS(E_F) 0.722 states/eV per atom, E_tot -18.528 eV for the cell shown. Number 8: DOS(E_F) 0.441 states/eV per atom, E_tot -15.661 eV for the cell shown.